Entry 1:
CdBi2Sb2 | PBE | optimized geometry

Energy relative to the elements, uncorrected   1.1 eV/f.u.
E_tot   -3.160 eV per atom
Symmetry   I4/mmm (139)
Offset from the most stable computed form   0.70 eV per formula unit

Unit cell a=5.6246 b=5.6246 c=11.6820 alpha=90.00 beta=90.00 gamma=90.00
Element x y z (fractional)
Cd 0.0000 0.0000 0.0000
Cd 0.5000 0.5000 0.5000
Bi 0.0000 0.0000 0.3620
Bi 0.0000 0.0000 0.6380
Bi 0.5000 0.5000 0.1380
Bi 0.5000 0.5000 0.8620
Sb 0.0000 0.5000 0.2500
Sb 0.0000 0.5000 0.7500
Sb 0.5000 0.0000 0.2500
Sb 0.5000 0.0000 0.7500

Entry 2:
RbCd2SnHg4 | PBE | optimized geometry

E_tot   -1.080 eV per atom
Symmetry   R-3m (166)
DFT formation energy   -0.63 eV per formula unit

Unit cell a=11.9136 b=11.9136 c=11.9136 alpha=23.73 beta=23.73 gamma=23.73
Element x y z (fractional)
Rb 0.0000 0.0000 0.0000
Cd 0.2404 0.2404 0.2404
Cd 0.7596 0.7596 0.7596
Sn 0.5000 0.5000 0.5000
Hg 0.1270 0.1270 0.1270
Hg 0.3990 0.3990 0.3990
Hg 0.6010 0.6010 0.6010
Hg 0.8730 0.8730 0.8730

Entry 3:
Sn3HgTe6Pb2 | PBE | optimized geometry

Energy relative to the elements, uncorrected   -3.2 eV/f.u.
E_tot   -3.484 eV per atom
Symmetry   C2/m (12)

Unit cell a=10.2285 b=10.2285 c=8.9733 alpha=102.64 beta=102.64 gamma=25.64
Element x y z (fractional)
Sn 0.0000 0.0000 0.0000
Sn 0.3307 0.3307 0.6637
Sn 0.6693 0.6693 0.3363
Hg 0.0000 0.0000 0.5000
Te 0.1639 0.1639 0.0889
Te 0.1695 0.1695 0.5798
Te 0.4995 0.4995 0.7460
Te 0.5005 0.5005 0.2540
Te 0.8305 0.8305 0.4202
Te 0.8361 0.8361 0.9111
Pb 0.3347 0.3347 0.1671
Pb 0.6653 0.6653 0.8329

What did the second record say?
RbCd2SnHg4 | PBE | optimized geometry

E_tot   -1.080 eV per atom
Symmetry   R-3m (166)
DFT formation energy   -0.63 eV per formula unit

Unit cell a=11.9136 b=11.9136 c=11.9136 alpha=23.73 beta=23.73 gamma=23.73
Element x y z (fractional)
Rb 0.0000 0.0000 0.0000
Cd 0.2404 0.2404 0.2404
Cd 0.7596 0.7596 0.7596
Sn 0.5000 0.5000 0.5000
Hg 0.1270 0.1270 0.1270
Hg 0.3990 0.3990 0.3990
Hg 0.6010 0.6010 0.6010
Hg 0.8730 0.8730 0.8730

Question: Which value of E_tot does entry 2 give?
Answer: -1.080 eV per atom